[1]
Computed, not measured: an optimized crystal structure of BiIF at the PBE level of DFT.

Unit cell a=5.989 b=8.097 c=8.005 alpha=90.00 beta=90.00 gamma=111.71
Fractional coordinates of all 12 atoms:
1 I 0.633 0.266 0.878
2 I 0.367 0.734 0.122
3 F 0.161 0.822 0.750
4 Bi 0.104 0.208 0.033
5 Bi 0.396 0.792 0.533
6 F 0.339 0.178 0.250
7 F 0.839 0.178 0.250
8 F 0.661 0.822 0.750
9 Bi 0.604 0.208 0.467
10 I 0.867 0.734 0.378
11 I 0.133 0.266 0.622
12 Bi 0.896 0.792 0.967

Summary:
Its space-group type is Cmce, No. 64. The calculation puts the formation energy from raw total energies at -1.14 eV per atom. As for the energy above the lowest structure with this stoichiometry: 0 meV/atom.



[2]
Computed, not measured: an optimized crystal structure of CoMoSe2 at the PBE level of DFT.

Unit cell a=4.255 b=4.255 c=6.702 alpha=94.73 beta=94.73 gamma=53.61
Fractional coordinates of all 4 atoms:
1 Se 0.034 0.034 0.129
2 Mo 0.257 0.257 0.418
3 Se 0.685 0.685 0.632
4 Co 0.524 0.524 0.321

Summary:
Its space-group type is Cm, No. 8. The calculation puts the formation energy from raw total energies at -0.15 eV per atom. Its density of states at the Fermi level is 2.0 states/eV per cell. As for the energy above the lowest structure with this stoichiometry: 104 meV/atom.



[3]
Computed, not measured: an optimized crystal structure of NbTl3Rh2Se6 at the PBE level of DFT.

Unit cell a=6.399 b=6.399 c=8.882 alpha=98.43 beta=98.43 gamma=122.77
Each line ends with the local moment (μB).
Fractional coordinates of all 12 atoms:
1 Tl 0.173 0.827 0.500  0.00
2 Se 0.730 0.730 0.180  0.00
3 Tl 0.500 0.500 0.500  0.00
4 Rh 0.340 0.660 0.000  0.01
5 Se 0.062 0.413 0.170  -0.01
6 Rh 0.660 0.340 0.000  0.01
7 Se 0.413 0.062 0.170  -0.01
8 Tl 0.827 0.173 0.500  0.00
9 Nb 0.000 0.000 0.000  0.22
10 Se 0.938 0.587 0.830  -0.01
11 Se 0.270 0.270 0.820  0.00
12 Se 0.587 0.938 0.830  -0.01

Summary:
Its space-group type is C2/m, No. 12. The calculation puts the formation energy from raw total energies at -0.41 eV per atom. Its density of states at the Fermi level is 5.1 states/eV per cell.



[4]
Computed, not measured: an optimized crystal structure of Ho2TmFe at the PBE level of DFT.

Unit cell a=6.187 b=7.022 c=9.068 alpha=90.00 beta=90.00 gamma=90.00
Fractional coordinates of all 16 atoms:
1 Tm 0.639 0.548 0.250
2 Ho 0.673 0.825 0.566
3 Fe 0.032 0.389 0.250
4 Ho 0.827 0.325 0.934
5 Fe 0.468 0.889 0.250
6 Ho 0.327 0.175 0.434
7 Fe 0.968 0.611 0.750
8 Tm 0.361 0.452 0.750
9 Ho 0.173 0.675 0.434
10 Ho 0.827 0.325 0.566
11 Fe 0.532 0.111 0.750
12 Ho 0.327 0.175 0.066
13 Ho 0.673 0.825 0.934
14 Ho 0.173 0.675 0.066
15 Tm 0.861 0.048 0.250
16 Tm 0.139 0.952 0.750

Summary:
The calculation puts the formation energy at -31 meV per atom. Its space-group type is Pnma, No. 62. Its density of states at the Fermi level is 13.4 states/eV per cell. As for the energy above the lowest structure with this stoichiometry: 0 meV/atom.



[5]
Computed, not measured: an optimized crystal structure of Tl6PdAu2 at the PBE level of DFT.

Unit cell a=4.891 b=6.858 c=8.473 alpha=113.87 beta=107.32 gamma=90.00
Fractional coordinates of all 9 atoms:
1 Tl 0.837 0.083 0.676
2 Tl 0.163 0.917 0.324
3 Au 0.668 0.667 0.334
4 Tl 0.500 0.760 0.000
5 Pd 0.000 0.000 0.000
6 Au 0.332 0.333 0.666
7 Tl 0.163 0.407 0.324
8 Tl 0.837 0.593 0.676
9 Tl 0.500 0.240 0.000

Summary:
The calculation puts the formation energy at -68 meV per atom. Its space-group type is C2/m, No. 12. Its density of states at the Fermi level is 3.2 states/eV per cell.



[6]
Computed, not measured: an optimized crystal structure of Tb3TmIn at the PBE level of DFT.

Unit cell a=5.874 b=8.808 c=6.795 alpha=90.00 beta=115.61 gamma=90.00
Fractional coordinates of all 10 atoms:
1 In 0.677 0.750 0.355
2 Tm 0.574 0.250 0.148
3 Tb 0.175 0.568 0.349
4 Tb 0.825 0.068 0.651
5 Tm 0.426 0.750 0.852
6 Tb 0.175 0.932 0.349
7 In 0.323 0.250 0.645
8 Tb 0.825 0.432 0.651
9 Tb 0.935 0.750 0.871
10 Tb 0.065 0.250 0.129

Summary:
The calculation puts the formation energy at 282 meV per atom. Its space-group type is Cmcm, No. 63. Its density of states at the Fermi level is 11.7 states/eV per cell. As for the energy above the lowest structure with this stoichiometry: 472 meV/atom.